Compound: TiCr2Os
Source: Alexandria via LeMat-Bulk
Functional: PBE
Structure: relaxed

Unit cell a=6.8339 b=6.8339 c=5.4495 alpha=51.17 beta=51.17 gamma=90.00
Closest atoms and distances in Å follow each position.
Positions (direct):
Cr (0.6464, 0.1250, 0.2500)  2 Os 2.40, 2 Cr 2.54, 2 Ti 2.60
Cr (0.1036, 0.6250, 0.2500)  2 Os 2.40, 2 Cr 2.54, 2 Ti 2.60
Cr (0.3750, 0.3536, 0.7500)  2 Os 2.40, 2 Cr 2.54, 2 Ti 2.60
Cr (0.8750, 0.8964, 0.7500)  2 Os 2.40, 2 Cr 2.54, 2 Ti 2.60
Os (0.0000, 0.0000, 0.0000)  4 Cr 2.40, 2 Ti 2.52
Os (0.7500, 0.2500, 0.5000)  4 Cr 2.40, 2 Ti 2.52
Ti (0.5000, 0.5000, 0.0000)  2 Os 2.52, 4 Cr 2.60
Ti (0.2500, 0.7500, 0.5000)  2 Os 2.52, 4 Cr 2.60

As for the crystal system: tetragonal. As for the space group: I-42d. Its formation energy is 0.55 eV per atom. For the density of states at the Fermi level, the calculation gives 1.499 states/eV/atom.